Record 1
DFT (PBEsol) results for a relaxed structure of MgCuMo2.

Calculated values
E above lowest polymorph = 66 meV/atom

abc: 2.6247 2.6247 8.6085
angles: 90.00 90.00 90.00
Positions (direct):
1 Mg 0.0000 0.0000 0.0000
2 Cu 0.0000 0.0000 0.5000
3 Mo 0.5000 0.5000 0.2694
4 Mo 0.5000 0.5000 0.7306



Record 2
DFT (PBEsol) results for a relaxed structure of MgCuMo2.

Calculated values
E above lowest polymorph = 0 meV/atom

abc: 5.1782 5.1782 5.1782
angles: 142.49 135.00 59.98
Positions (direct):
1 Mg 0.0000 0.0000 0.0000
2 Cu 0.5000 0.5000 0.0000
3 Mo 0.2564 0.7564 0.5000
4 Mo 0.7436 0.2436 0.5000



Record 3
DFT (PBEsol) results for a relaxed structure of MgCuMo.

Calculated values
E above lowest polymorph = 0 meV/atom

abc: 4.4306 4.4306 2.5991
angles: 90.00 90.00 120.00
Positions (direct):
1 Mg 0.0000 0.0000 0.0000
2 Cu 0.3333 0.6667 0.1869
3 Mo 0.6667 0.3333 0.5605